Entry 1:
# Zn2IrPt | Alexandria | PBEsol | relaxed
data_Zn2IrPt
_chemical_formula_sum 'Zn2 Ir1 Pt1'
_cell_length_a 2.816
_cell_length_b 4.679
_cell_length_c 5.084
_cell_angle_alpha 117.39
_cell_angle_beta 106.08
_cell_angle_gamma 90.00
_symmetry_space_group_name_H-M 'P 1'
_symmetry_Int_Tables_number 1
loop_
_symmetry_equiv_pos_as_xyz
'x,y,z'
loop_
_atom_site_label
_atom_site_type_symbol
_atom_site_fract_x
_atom_site_fract_y
_atom_site_fract_z
Ir1 Ir 0.500 0.000 0.000
Pt1 Pt 0.000 0.500 0.000
Zn1 Zn 0.751 0.751 0.502
Zn2 Zn 0.249 0.249 0.498
# Space group: Immm (71)

Entry 2:
# ZnIrPt | Alexandria | PBEsol | relaxed
data_ZnIrPt
_chemical_formula_sum 'Zn1 Ir1 Pt1'
_cell_length_a 2.708
_cell_length_b 3.766
_cell_length_c 4.773
_cell_angle_alpha 113.23
_cell_angle_beta 106.48
_cell_angle_gamma 90.00
_symmetry_space_group_name_H-M 'P 1'
_symmetry_Int_Tables_number 1
loop_
_symmetry_equiv_pos_as_xyz
'x,y,z'
loop_
_atom_site_label
_atom_site_type_symbol
_atom_site_fract_x
_atom_site_fract_y
_atom_site_fract_z
Ir1 Ir 0.005 0.005 0.011
Pt1 Pt 0.330 0.330 0.659
Zn1 Zn 0.665 0.665 0.330
# Space group: Imm2 (44)

Entry 3:
# ZnIrPt2 | Alexandria | PBEsol | relaxed
data_ZnIrPt2
_chemical_formula_sum 'Zn1 Ir1 Pt2'
_cell_length_a 2.740
_cell_length_b 2.740
_cell_length_c 7.621
_cell_angle_alpha 90.00
_cell_angle_beta 90.00
_cell_angle_gamma 90.00
_symmetry_space_group_name_H-M 'P 1'
_symmetry_Int_Tables_number 1
loop_
_symmetry_equiv_pos_as_xyz
'x,y,z'
loop_
_atom_site_label
_atom_site_type_symbol
_atom_site_fract_x
_atom_site_fract_y
_atom_site_fract_z
Ir1 Ir 0.500 0.500 0.744
Pt1 Pt 0.000 0.000 0.994
Pt2 Pt 0.500 0.500 0.260
Zn1 Zn 0.000 0.000 0.502
# Space group: P4mm (99)

Size of the total moment: 0.0; 0.0; 0.0 (μB per cell)
Final energy: -20.67; -18.48; -25.79 (eV/f.u.)